# 1
Nb4GaSe8: relaxed, PBE.

Results
The formation energy from raw total energies comes out at -819 meV/atom. As for the energy above the most stable polymorph in this dataset: 0.000 eV per atom.

a = 10.5526 Å, b = 10.5526 Å, c = 10.5526 Å
α = 90.00°, β = 90.00°, γ = 90.00°
Space group F-43m (No. 216)
Unique sites:
Nb: 0.1028 0.1028 0.1028 x16
Ga: 0.0000 0.0000 0.5000 x4
Se: 0.1351 0.1351 0.3649 x16
Se: 0.1347 0.1347 0.8653 x16



# 2
Ce2Ga3Ir: relaxed, PBE.

Results
For the energy relative to the elements, the calculation gives -671 meV per atom.

a = 7.3189 Å, b = 8.9318 Å, c = 15.3663 Å
α = 90.00°, β = 90.00°, γ = 90.00°
Space group Fmmm (No. 69)
Unique sites:
Ce: 0.2356 0.0000 0.0000 x8
Ce: 0.2500 0.2500 0.2500 x8
Ga: 0.0000 0.0000 0.3324 x8
Ga: 0.0000 0.2490 0.4162 x16
Ir: 0.0000 0.0000 0.1653 x8



Number 1: DFT total energy -6.294 eV per atom, M_tot 0.00 μB per formula unit. Number 2: DFT total energy -5.639 eV per atom, M_tot 0.54 μB per formula unit.